# 1
## La2Pu12Ru7 (PBE)

Data for crystalline La2Pu12Ru7 at its relaxed geometry.

Summary:
* space-group type: P-6, No. 174
* magnetic moment: 28.7 Bohr magnetons per cell
* calculated formation energy: -0.04 eV per atom

Cell lengths 11.5022, 11.5022, 4.0754 Å; angles 90.00, 90.00, 120.00 degrees
Last column: nearest neighbours and their distance in Å.
Positions (direct):
La 0.0000 0.0000 0.5000  6 Ru 3.35, 9 Pu 3.60-3.73
La 0.6667 0.3333 0.0000  6 Ru 3.29
Pu 0.8797 0.6330 0.5000  2 Pu 2.65, 2 Ru 2.84-2.87
Pu 0.7533 0.1203 0.5000  2 Pu 2.65, 2 Ru 2.84-2.87
Pu 0.3670 0.2467 0.5000  2 Pu 2.65, 2 Ru 2.84-2.87
Pu 0.2157 0.7868 0.5000  2 Ru 2.70
Pu 0.5711 0.7843 0.5000  2 Ru 2.70
Pu 0.2132 0.4289 0.5000  2 Ru 2.70
Pu 0.0665 0.5364 0.0000  3 Ru 2.61-2.66
Pu 0.4700 0.9335 0.0000  3 Ru 2.61-2.66
Pu 0.4636 0.5300 0.0000  3 Ru 2.61-2.66
Pu 0.7888 0.7126 0.0000  2 Pu 2.65, 2 Ru 2.70-2.95
Pu 0.9238 0.2112 0.0000  2 Pu 2.65, 2 Ru 2.70-2.95
Pu 0.2874 0.0762 0.0000  2 Pu 2.65, 2 Ru 2.70-2.95
Ru 0.3333 0.6667 0.0000  3 Pu 2.66
Ru 0.0813 0.8209 0.0000  4 Pu 2.70-2.95
Ru 0.7397 0.9187 0.0000  4 Pu 2.70-2.95
Ru 0.1791 0.2603 0.0000  4 Pu 2.70-2.95
Ru 0.5958 0.5135 0.5000  4 Pu 2.61-2.87
Ru 0.9177 0.4042 0.5000  4 Pu 2.61-2.87
Ru 0.4865 0.0823 0.5000  4 Pu 2.61-2.87

***

# 2
## NbHgIr2 (PBE)

Data for crystalline NbHgIr2 at its relaxed geometry.

Summary:
* space-group type: I-42d, No. 122
* magnetic moment: 0.0 Bohr magnetons per cell
* calculated formation energy: 0.37 eV per atom

Cell lengths 7.3018, 7.3018, 5.8931 Å; angles 51.72, 51.72, 90.00 degrees
Last column: nearest neighbours and their distance in Å.
Positions (direct):
Nb 0.5000 0.5000 0.0000  4 Ir 2.51
Nb 0.2500 0.7500 0.5000  4 Ir 2.51
Ir 0.5896 0.1250 0.2500  2 Nb 2.51
Ir 0.1604 0.6250 0.2500  2 Nb 2.51
Ir 0.3750 0.4104 0.7500  2 Nb 2.51
Ir 0.8750 0.8396 0.7500  2 Nb 2.51
Hg 0.0000 0.0000 0.0000  2 Nb 2.84, 4 Ir 2.86
Hg 0.7500 0.2500 0.5000  2 Nb 2.84, 4 Ir 2.86

***

# 3
## BaZrC3 (PBE)

Data for crystalline BaZrC3 at its relaxed geometry.

Summary:
* space-group type: Pm-3m, No. 221
* magnetic moment: 0.0 Bohr magnetons per cell
* calculated formation energy: 1.17 eV per atom

Cell lengths 4.4827, 4.4827, 4.4827 Å; angles 90.00, 90.00, 90.00 degrees
Last column: nearest neighbours and their distance in Å.
Positions (direct):
C 0.0000 0.5000 0.0000  2 Zr 2.24
C 0.0000 0.0000 0.5000  2 Zr 2.24
C 0.5000 0.0000 0.0000  2 Zr 2.24
Ba 0.5000 0.5000 0.5000  12 C 3.17
Zr 0.0000 0.0000 0.0000  6 C 2.24

***

# 4
## Sn3Pd3Au (PBE)

Data for crystalline Sn3Pd3Au at its relaxed geometry.

Summary:
* space-group type: Pnma, No. 62
* magnetic moment: 0.0 Bohr magnetons per cell
* calculated formation energy: -0.34 eV per atom

Cell lengths 3.2794, 12.2024, 13.5869 Å; angles 90.00, 90.00, 90.00 degrees
Last column: nearest neighbours and their distance in Å.
Positions (direct):
Sn 0.7500 0.8202 0.7503  5 Pd 2.69-2.85
Sn 0.2500 0.6798 0.2503  5 Pd 2.69-2.85
Sn 0.2500 0.1798 0.2497  5 Pd 2.69-2.85
Sn 0.7500 0.3202 0.7497  5 Pd 2.69-2.85
Sn 0.7500 0.1559 0.9429  6 Pd 2.66-2.81
Sn 0.2500 0.3441 0.4429  6 Pd 2.66-2.81
Sn 0.2500 0.8441 0.0571  6 Pd 2.66-2.81
Sn 0.7500 0.6559 0.5571  6 Pd 2.66-2.81
Sn 0.7500 0.0405 0.6021  5 Pd 2.79-2.94, 2 Au 2.90
Sn 0.2500 0.4595 0.1021  5 Pd 2.79-2.94, 2 Au 2.90
Sn 0.2500 0.9595 0.3979  5 Pd 2.79-2.94, 2 Au 2.90
Sn 0.7500 0.5405 0.8979  5 Pd 2.79-2.94, 2 Au 2.90
Pd 0.7500 0.9402 0.9162  4 Sn 2.66-2.78, 2 Au 2.93
Pd 0.2500 0.5598 0.4162  4 Sn 2.66-2.78, 2 Au 2.93
Pd 0.2500 0.0598 0.0838  4 Sn 2.66-2.78, 2 Au 2.93
Pd 0.7500 0.4402 0.5838  4 Sn 2.66-2.78, 2 Au 2.93
Pd 0.7500 0.7751 0.3900  5 Sn 2.70-2.79, 1 Au 2.99
Pd 0.2500 0.7249 0.8900  5 Sn 2.70-2.79, 1 Au 2.99
Pd 0.2500 0.2249 0.6100  5 Sn 2.70-2.79, 1 Au 2.99
Pd 0.7500 0.2751 0.1100  5 Sn 2.70-2.79, 1 Au 2.99
Pd 0.7500 0.6584 0.0798  7 Sn 2.81-2.94
Pd 0.2500 0.8416 0.5798  7 Sn 2.81-2.94
Pd 0.2500 0.3416 0.9202  7 Sn 2.81-2.94
Pd 0.7500 0.1584 0.4202  7 Sn 2.81-2.94
Au 0.7500 0.9355 0.2234  4 Sn 2.90-3.01, 3 Pd 2.93-2.99
Au 0.2500 0.5645 0.7234  4 Sn 2.90-3.01, 3 Pd 2.93-2.99
Au 0.2500 0.0645 0.7766  4 Sn 2.90-3.01, 3 Pd 2.93-2.99
Au 0.7500 0.4355 0.2766  4 Sn 2.90-3.01, 3 Pd 2.93-2.99

***

# 5
## PrNd5Y3 (PBE)

Data for crystalline PrNd5Y3 at its relaxed geometry.

Summary:
* space-group type: C2/c, No. 15
* magnetic moment: 0.0 Bohr magnetons per cell
* calculated formation energy: 0.28 eV per atom

Cell lengths 11.2586, 11.2586, 11.6389 Å; angles 55.56, 55.56, 32.39 degrees
Last column: nearest neighbours and their distance in Å.
Positions (direct):
Pr 0.8721 0.1279 0.7500  2 Nd 3.01-3.27, 2 Y 3.02
Pr 0.1279 0.8721 0.2500  2 Nd 3.01-3.27, 2 Y 3.02
Nd 0.3922 0.6078 0.7500  2 Pr 3.01-3.27
Nd 0.9831 0.3764 0.9808  5 Nd 3.39-3.73, 2 Y 3.48-3.58
Nd 0.5425 0.1744 0.1278  2 Y 3.19-3.46
Nd 0.0169 0.6236 0.0192  5 Nd 3.39-3.73, 2 Y 3.48-3.58
Nd 0.8256 0.4575 0.3722  2 Y 3.19-3.46
Nd 0.6078 0.3922 0.2500  2 Pr 3.01-3.27
Nd 0.3764 0.9831 0.4808  5 Nd 3.39-3.73, 2 Y 3.48-3.58
Nd 0.6236 0.0169 0.5192  5 Nd 3.39-3.73, 2 Y 3.48-3.58
Nd 0.1744 0.5425 0.6278  2 Y 3.19-3.46
Nd 0.4575 0.8256 0.8722  2 Y 3.19-3.46
Y 0.0000 0.0000 0.0000  2 Pr 3.02, 2 Nd 3.19
Y 0.0492 0.5957 0.3237  2 Y 3.41-3.73, 4 Nd 3.46-3.62, 1 Pr 3.46
Y 0.0000 0.0000 0.5000  2 Pr 3.02, 2 Nd 3.19
Y 0.9508 0.4043 0.6763  2 Y 3.41-3.73, 4 Nd 3.46-3.62, 1 Pr 3.46
Y 0.5957 0.0492 0.8237  2 Y 3.41-3.73, 4 Nd 3.46-3.62, 1 Pr 3.46
Y 0.4043 0.9508 0.1763  2 Y 3.41-3.73, 4 Nd 3.46-3.62, 1 Pr 3.46

***

# 6
## GdHo2Hf (PBE)

Data for crystalline GdHo2Hf at its relaxed geometry.

Summary:
* space-group type: R-3m, No. 166
* magnetic moment: 7.4 Bohr magnetons per cell
* calculated formation energy: 0.11 eV per atom

Cell lengths 3.4158, 3.4158, 11.4685 Å; angles 81.44, 81.44, 60.00 degrees
Last column: nearest neighbours and their distance in Å.
Positions (direct):
Gd 0.5000 0.5000 0.5000  6 Gd 3.42, 6 Ho 3.61
Hf 0.0000 0.0000 0.0000  6 Ho 3.28, 6 Hf 3.42
Ho 0.2559 0.2559 0.2322  3 Hf 3.28, 6 Ho 3.42, 3 Gd 3.61
Ho 0.7441 0.7441 0.7678  3 Hf 3.28, 6 Ho 3.42, 3 Gd 3.61

***

# 7
## InPt2W (PBE)

Data for crystalline InPt2W at its relaxed geometry.

Summary:
* space-group type: Cmmm, No. 65
* magnetic moment: 0.0 Bohr magnetons per cell
* calculated formation energy: -0.06 eV per atom

Cell lengths 7.5361, 4.9295, 2.7989 Å; angles 90.08, 68.09, 131.18 degrees
Last column: nearest neighbours and their distance in Å.
Positions (direct):
In 0.5000 0.5000 0.0000  2 In 2.80, 8 Pt 2.83-2.84
Pt 0.0000 0.0000 0.0000  2 Pt 2.80, 4 In 2.83-2.84, 4 W 2.83-2.84
Pt 0.5000 0.0000 0.5000  2 Pt 2.80, 4 W 2.83-2.84, 4 In 2.83-2.84
W 0.0000 0.5000 0.5000  2 W 2.80, 8 Pt 2.83-2.84

***

# 8
## In2AgSe3I (PBE)

Data for crystalline In2AgSe3I at its relaxed geometry.

Summary:
* space-group type: R-3m, No. 166
* magnetic moment: 0.0 Bohr magnetons per cell
* raw formation energy: -0.428 eV per atom

Cell lengths 8.2333, 8.2333, 8.2333 Å; angles 60.64, 60.64, 60.64 degrees
Last column: nearest neighbours and their distance in Å.
Positions (direct):
In 0.0000 0.0000 0.0000  6 Se 2.84
In 0.0000 0.5000 0.0000  4 Se 2.74
In 0.5000 0.0000 0.0000  4 Se 2.74
In 0.0000 0.0000 0.5000  4 Se 2.74
Ag 0.5779 0.5779 0.5779  3 Se 2.63
Ag 0.4221 0.4221 0.4221  3 Se 2.63
Se 0.2420 0.7908 0.2420  1 Ag 2.63, 3 In 2.74-2.84
Se 0.7908 0.2420 0.2420  1 Ag 2.63, 3 In 2.74-2.84
Se 0.2420 0.2420 0.7908  1 Ag 2.63, 3 In 2.74-2.84
Se 0.7580 0.2092 0.7580  1 Ag 2.63, 3 In 2.74-2.84
Se 0.2092 0.7580 0.7580  1 Ag 2.63, 3 In 2.74-2.84
Se 0.7580 0.7580 0.2092  1 Ag 2.63, 3 In 2.74-2.84
I 0.2659 0.2659 0.2659  3 In 3.12, 1 Ag 3.14
I 0.7341 0.7341 0.7341  3 In 3.12, 1 Ag 3.14

***

# 9
## Pa3Co3Ir (PBE)

Data for crystalline Pa3Co3Ir at its relaxed geometry.

Summary:
* space-group type: Cmcm, No. 63
* magnetic moment: 0.0 Bohr magnetons per cell
* calculated formation energy: -0.50 eV per atom

Cell lengths 3.9639, 4.8346, 14.3539 Å; angles 90.00, 90.00, 114.20 degrees
Last column: nearest neighbours and their distance in Å.
Positions (direct):
Pa 0.1721 0.3443 0.9049  3 Co 2.54-2.74
Pa 0.8279 0.6557 0.0951  3 Co 2.54-2.74
Pa 0.1721 0.3443 0.5951  3 Co 2.54-2.74
Pa 0.8279 0.6557 0.4049  3 Co 2.54-2.74
Pa 0.4541 0.9083 0.7500  1 Co 2.28
Pa 0.5459 0.0917 0.2500  1 Co 2.28
Co 0.8854 0.7709 0.8887  1 Co 2.51, 3 Pa 2.54-2.74, 2 Ir 2.74
Co 0.1146 0.2291 0.1113  1 Co 2.51, 3 Pa 2.54-2.74, 2 Ir 2.74
Co 0.8854 0.7709 0.6113  1 Co 2.51, 3 Pa 2.54-2.74, 2 Ir 2.74
Co 0.1146 0.2291 0.3887  1 Co 2.51, 3 Pa 2.54-2.74, 2 Ir 2.74
Co 0.7129 0.4259 0.7500  1 Pa 2.28, 2 Co 2.51
Co 0.2871 0.5741 0.2500  1 Pa 2.28, 2 Co 2.51
Ir 0.5000 0.0000 0.0000  4 Co 2.74, 4 Pa 2.85
Ir 0.5000 0.0000 0.5000  4 Co 2.74, 4 Pa 2.85

***

# 10
## MgCdPd (PBE)

Data for crystalline MgCdPd at its relaxed geometry.

Summary:
* space-group type: Cmcm, No. 63
* magnetic moment: 0.0 Bohr magnetons per cell
* calculated formation energy: -0.44 eV per atom

Cell lengths 4.6367, 10.2000, 4.6480 Å; angles 90.00, 90.00, 90.00 degrees
Last column: nearest neighbours and their distance in Å.
Positions (direct):
Mg 0.0000 0.8910 0.2500  4 Pd 2.73-2.74
Mg 0.0000 0.1090 0.7500  4 Pd 2.73-2.74
Mg 0.5000 0.3910 0.2500  4 Pd 2.73-2.74
Mg 0.5000 0.6090 0.7500  4 Pd 2.73-2.74
Cd 0.0000 0.5893 0.2500  4 Pd 2.83-2.85, 2 Cd 2.95, 3 Mg 3.08
Cd 0.0000 0.4107 0.7500  4 Pd 2.83-2.85, 2 Cd 2.95, 3 Mg 3.08
Cd 0.5000 0.0893 0.2500  4 Pd 2.83-2.85, 2 Cd 2.95, 3 Mg 3.08
Cd 0.5000 0.9107 0.7500  4 Pd 2.83-2.85, 2 Cd 2.95, 3 Mg 3.08
Pd 0.0000 0.2486 0.2500  4 Mg 2.73-2.74, 4 Cd 2.83-2.85
Pd 0.0000 0.7514 0.7500  4 Mg 2.73-2.74, 4 Cd 2.83-2.85
Pd 0.5000 0.7486 0.2500  4 Mg 2.73-2.74, 4 Cd 2.83-2.85
Pd 0.5000 0.2514 0.7500  4 Mg 2.73-2.74, 4 Cd 2.83-2.85

***

# 11
## Li3ZnRh2O6 (PBE)

Data for crystalline Li3ZnRh2O6 at its relaxed geometry.

Summary:
* space-group type: C2/m, No. 12
* magnetic moment: 0.8 Bohr magnetons per cell
* raw formation energy: -1.314 eV per atom

Cell lengths 3.0668, 5.9797, 6.6787 Å; angles 101.10, 103.27, 90.00 degrees
Last column: nearest neighbours and their distance in Å.
Positions (direct):
Li 0.5000 0.5000 0.0000  6 O 2.17-2.18
Li 0.8367 0.1643 0.6735  6 O 2.13-2.24
Li 0.1633 0.8357 0.3265  6 O 2.13-2.24
Zn 0.5000 0.0000 0.0000  6 O 2.12-2.17
Rh 0.8340 0.6717 0.6681  6 O 2.03-2.08
Rh 0.1660 0.3283 0.3319  6 O 2.03-2.08
O 0.3300 0.8976 0.6599  2 Rh 2.05, 3 Li 2.13-2.20, 1 Zn 2.17
O 0.6713 0.5657 0.3427  3 Rh 2.08, 3 Li 2.18-2.24
O 0.6700 0.1024 0.3401  2 Rh 2.05, 3 Li 2.13-2.20, 1 Zn 2.17
O 0.0065 0.2467 0.0130  1 Rh 2.03, 2 Zn 2.12, 3 Li 2.16-2.17
O 0.9935 0.7533 0.9870  1 Rh 2.03, 2 Zn 2.12, 3 Li 2.16-2.17
O 0.3287 0.4343 0.6573  3 Rh 2.08, 3 Li 2.18-2.24

***

# 12
## TlReCl2 (PBE)

Data for crystalline TlReCl2 at its relaxed geometry.

Summary:
* space-group type: Imm2, No. 44
* magnetic moment: 0.4 Bohr magnetons per cell
* raw formation energy: 0.466 eV per atom

Cell lengths 7.7113, 7.7113, 7.7113 Å; angles 157.54, 146.76, 40.49 degrees
Last column: nearest neighbours and their distance in Å.
Positions (direct):
Re 0.5203 0.5203 0.0000  6 Cl 2.41-2.69
Tl 0.3333 0.8333 0.5000  2 Tl 3.00, 2 Re 3.09, 2 Cl 3.23
Cl 0.9960 0.9960 0.0000  4 Re 2.69, 2 Cl 3.00
Cl 0.6505 0.1505 0.5000  2 Re 2.41